*A*
Sr2ZrPtSe6: optimized geometry, PBE.

abc: 6.898 6.927 6.936
angles: 64.48 64.78 64.24
Fractional positions:
Pt 0.000 0.500 0.000
Se 0.752 0.833 0.154
Se 0.666 0.346 0.235
Se 0.150 0.263 0.337
Se 0.850 0.737 0.663
Se 0.334 0.654 0.765
Se 0.248 0.167 0.846
Sr 0.242 0.746 0.241
Sr 0.758 0.254 0.759
Zr 0.500 0.000 0.500

---

*B*
Sr2ZrPtSe6: optimized geometry, PBE.

abc: 7.083 7.083 7.354
angles: 120.21 120.21 59.84
Fractional positions:
Pt 0.000 0.000 0.000
Se 0.696 0.183 0.184
Se 0.183 0.696 0.184
Se 0.243 0.243 0.341
Se 0.757 0.757 0.659
Se 0.817 0.304 0.816
Se 0.304 0.817 0.816
Sr 0.744 0.744 0.232
Sr 0.256 0.256 0.768
Zr 0.500 0.500 0.500

---

Which is most stable, and by how much? *A*, by 0.012 eV/atom.

---

*A*
SmTaPt: optimized geometry, PBE.

abc: 4.673 4.673 4.673
angles: 60.00 60.00 60.00
Fractional positions:
Pt 0.000 0.000 0.000
Sm 0.250 0.250 0.250
Ta 0.750 0.750 0.750

---

*B*
SmTaPt: optimized geometry, PBE.

abc: 4.652 4.652 4.652
angles: 60.00 60.00 60.00
Fractional positions:
Pt 0.250 0.250 0.250
Sm 0.000 0.000 0.000
Ta 0.750 0.750 0.750

---

Which is most stable, and by how much? *A*, by 0.941 eV/atom.